# 1
VASP calculation (PBE) on an optimized crystal structure of RbCu2PbCl8.

The structure in CIF format:
```
data_RbCu2PbCl8
_symmetry_space_group_name_H-M 'I -4'
_symmetry_Int_Tables_number 82
_cell_length_a 7.050
_cell_length_b 7.050
_cell_length_c 13.191
_cell_angle_alpha 90.00
_cell_angle_beta 90.00
_cell_angle_gamma 90.00
loop_
_symmetry_equiv_pos_as_xyz
'x,y,z'
'y,-x,-z'
'-x,-y,z'
'-y,x,-z'
'x+1/2,y+1/2,z+1/2'
'y+1/2,-x+1/2,-z+1/2'
'-x+1/2,-y+1/2,z+1/2'
'-y+1/2,x+1/2,-z+1/2'
loop_
_atom_site_label
_atom_site_type_symbol
_atom_site_fract_x
_atom_site_fract_y
_atom_site_fract_z
_atom_site_occupancy
Rb1 Rb 0.000 0.000 0.000 1
Cu1 Cu 0.000 0.000 0.500 1
Cu2 Cu 0.000 0.500 0.250 1
Pb1 Pb 0.000 0.500 0.750 1
Cl1 Cl 0.046 0.305 0.524 1
Cl2 Cl 0.146 0.785 0.224 1
```

---

# 2
VASP calculation (PBE) on an optimized crystal structure of Rb3Cu2PbCl8.

The structure in CIF format:
```
data_Rb3Cu2PbCl8
_symmetry_space_group_name_H-M 'P -3 m 1'
_symmetry_Int_Tables_number 164
_symmetry_space_group_name_Hall '-P 3 2"'
_cell_length_a 7.4615
_cell_length_b 7.4615
_cell_length_c 9.3604
_cell_angle_alpha 90.00
_cell_angle_beta 90.00
_cell_angle_gamma 120.00
loop_
_atom_site_label
_atom_site_type_symbol
_atom_site_fract_x
_atom_site_fract_y
_atom_site_fract_z
_atom_site_occupancy
Rb1 Rb 0.0000 0.0000 0.0000 1
Rb2 Rb 0.3333 0.6667 0.6295 1
Cu1 Cu 0.3333 0.6667 0.1974 1
Pb1 Pb 0.0000 0.0000 0.5000 1
Cl1 Cl 0.1742 0.3485 0.3193 1
Cl2 Cl 0.3333 0.6667 0.9651 1
```

---

Number 1: formation energy from raw total energies -798.8 meV per atom. Number 2: formation energy from raw total energies -1251.8 meV per atom.